1.
# MnRu, optimized geometry, DFT PBE
# **DFT total energy**: -36.43 eV per cell
# **ΔH_f (0 K)**: 0.114 eV/atom
# **Space-group type**: No. 12
data_MnRu
_symmetry_space_group_name_H-M 'P 1'
_symmetry_Int_Tables_number 1
_cell_length_a 2.643
_cell_length_b 4.534
_cell_length_c 4.501
_cell_angle_alpha 99.66
_cell_angle_beta 90.00
_cell_angle_gamma 106.95
loop_
_symmetry_equiv_pos_as_xyz
'x,y,z'
loop_
_atom_site_label
_atom_site_type_symbol
_atom_site_fract_x
_atom_site_fract_y
_atom_site_fract_z
Mn1 Mn 0.250 0.500 0.747
Mn2 Mn 0.000 0.000 0.003
Ru1 Ru 0.501 0.001 0.515
Ru2 Ru 0.749 0.499 0.235

2.
# MnRu, optimized geometry, DFT PBE
# **DFT total energy**: -288.20 eV per cell
# **ΔH_f (0 K)**: 0.217 eV/atom
# **Space-group type**: No. 70
data_MnRu
_symmetry_space_group_name_H-M 'P 1'
_symmetry_Int_Tables_number 1
_cell_length_a 2.633
_cell_length_b 15.912
_cell_length_c 9.671
_cell_angle_alpha 90.00
_cell_angle_beta 90.00
_cell_angle_gamma 90.00
loop_
_symmetry_equiv_pos_as_xyz
'x,y,z'
loop_
_atom_site_label
_atom_site_type_symbol
_atom_site_fract_x
_atom_site_fract_y
_atom_site_fract_z
Mn1 Mn 0.000 0.000 0.362
Mn2 Mn 0.000 0.000 0.638
Mn3 Mn 0.250 0.750 0.888
Mn4 Mn 0.250 0.750 0.612
Mn5 Mn 0.000 0.500 0.862
Mn6 Mn 0.000 0.500 0.138
Mn7 Mn 0.250 0.250 0.388
Mn8 Mn 0.250 0.250 0.112
Mn9 Mn 0.500 0.000 0.862
Mn10 Mn 0.500 0.000 0.138
Mn11 Mn 0.750 0.750 0.388
Mn12 Mn 0.750 0.750 0.112
Mn13 Mn 0.500 0.500 0.362
Mn14 Mn 0.500 0.500 0.638
Mn15 Mn 0.750 0.250 0.888
Mn16 Mn 0.750 0.250 0.612
Ru1 Ru 0.000 0.105 0.000
Ru2 Ru 0.000 0.895 0.000
Ru3 Ru 0.250 0.645 0.250
Ru4 Ru 0.250 0.855 0.250
Ru5 Ru 0.000 0.605 0.500
Ru6 Ru 0.000 0.395 0.500
Ru7 Ru 0.250 0.145 0.750
Ru8 Ru 0.250 0.355 0.750
Ru9 Ru 0.500 0.105 0.500
Ru10 Ru 0.500 0.895 0.500
Ru11 Ru 0.750 0.645 0.750
Ru12 Ru 0.750 0.855 0.750
Ru13 Ru 0.500 0.605 0.000
Ru14 Ru 0.500 0.395 0.000
Ru15 Ru 0.750 0.145 0.250
Ru16 Ru 0.750 0.355 0.250

3.
# MnRu, optimized geometry, DFT PBE
# **DFT total energy**: -71.75 eV per cell
# **ΔH_f (0 K)**: 0.254 eV/atom
# **Space-group type**: No. 194
data_MnRu
_symmetry_space_group_name_H-M 'P 1'
_symmetry_Int_Tables_number 1
_cell_length_a 4.038
_cell_length_b 4.038
_cell_length_c 7.740
_cell_angle_alpha 90.00
_cell_angle_beta 90.00
_cell_angle_gamma 120.00
loop_
_symmetry_equiv_pos_as_xyz
'x,y,z'
loop_
_atom_site_label
_atom_site_type_symbol
_atom_site_fract_x
_atom_site_fract_y
_atom_site_fract_z
Mn1 Mn 0.000 0.000 0.250
Mn2 Mn 0.000 0.000 0.750
Mn3 Mn 0.333 0.667 0.750
Mn4 Mn 0.667 0.333 0.250
Ru1 Ru 0.333 0.667 0.075
Ru2 Ru 0.667 0.333 0.575
Ru3 Ru 0.667 0.333 0.925
Ru4 Ru 0.333 0.667 0.425

4.
# Mn2Ru, optimized geometry, DFT PBE
# **DFT total energy**: -51.67 eV per cell
# **ΔH_f (0 K)**: 0.593 eV/atom
# **Space-group type**: No. 141
data_Mn2Ru
_symmetry_space_group_name_H-M 'P 1'
_symmetry_Int_Tables_number 1
_cell_length_a 7.264
_cell_length_b 7.264
_cell_length_c 7.264
_cell_angle_alpha 153.26
_cell_angle_beta 153.26
_cell_angle_gamma 38.17
loop_
_symmetry_equiv_pos_as_xyz
'x,y,z'
loop_
_atom_site_label
_atom_site_type_symbol
_atom_site_fract_x
_atom_site_fract_y
_atom_site_fract_z
Mn1 Mn 0.331 0.831 0.500
Mn2 Mn 0.169 0.669 0.500
Mn3 Mn 0.581 0.581 0.000
Mn4 Mn 0.419 0.419 0.000
Ru1 Ru 0.000 0.000 0.000
Ru2 Ru 0.750 0.250 0.500

5.
# MnRu, optimized geometry, DFT PBE
# **DFT total energy**: -36.24 eV per cell
# **ΔH_f (0 K)**: 0.162 eV/atom
# **Space-group type**: No. 166
data_MnRu
_symmetry_space_group_name_H-M 'P 1'
_symmetry_Int_Tables_number 1
_cell_length_a 2.638
_cell_length_b 8.557
_cell_length_c 2.638
_cell_angle_alpha 98.87
_cell_angle_beta 60.00
_cell_angle_gamma 98.87
loop_
_symmetry_equiv_pos_as_xyz
'x,y,z'
loop_
_atom_site_label
_atom_site_type_symbol
_atom_site_fract_x
_atom_site_fract_y
_atom_site_fract_z
Mn1 Mn 0.998 0.995 0.998
Mn2 Mn 0.252 0.755 0.252
Ru1 Ru 0.504 0.513 0.504
Ru2 Ru 0.746 0.237 0.746

6.
# Mn3Ru, optimized geometry, DFT PBE
# **DFT total energy**: -36.60 eV per cell
# **ΔH_f (0 K)**: 0.046 eV/atom
# **Space-group type**: No. 44
data_Mn3Ru
_symmetry_space_group_name_H-M 'P 1'
_symmetry_Int_Tables_number 1
_cell_length_a 4.851
_cell_length_b 4.851
_cell_length_c 4.851
_cell_angle_alpha 149.05
_cell_angle_beta 125.54
_cell_angle_gamma 63.96
loop_
_symmetry_equiv_pos_as_xyz
'x,y,z'
loop_
_atom_site_label
_atom_site_type_symbol
_atom_site_fract_x
_atom_site_fract_y
_atom_site_fract_z
Ru1 Ru 0.663 0.000 0.663
Mn1 Mn 0.755 0.754 0.002
Mn2 Mn 0.248 0.246 0.002
Mn3 Mn 0.167 0.500 0.667

7.
# MnRu3, optimized geometry, DFT PBE
# **DFT total energy**: -36.92 eV per cell
# **ΔH_f (0 K)**: 0.020 eV/atom
# **Space-group type**: No. 25
data_MnRu3
_symmetry_space_group_name_H-M 'P 1'
_symmetry_Int_Tables_number 1
_cell_length_a 2.697
_cell_length_b 4.243
_cell_length_c 4.639
_cell_angle_alpha 90.00
_cell_angle_beta 90.00
_cell_angle_gamma 90.00
loop_
_symmetry_equiv_pos_as_xyz
'x,y,z'
loop_
_atom_site_label
_atom_site_type_symbol
_atom_site_fract_x
_atom_site_fract_y
_atom_site_fract_z
Ru1 Ru 0.000 0.500 0.327
Ru2 Ru 0.500 0.000 0.498
Ru3 Ru 0.500 0.500 0.842
Mn1 Mn 0.000 0.000 0.000

8.
# Mn2Ru, optimized geometry, DFT PBE
# **DFT total energy**: -27.49 eV per cell
# **ΔH_f (0 K)**: 0.043 eV/atom
# **Space-group type**: No. 191
data_Mn2Ru
_symmetry_space_group_name_H-M 'P 1'
_symmetry_Int_Tables_number 1
_cell_length_a 2.602
_cell_length_b 3.981
_cell_length_c 3.981
_cell_angle_alpha 120.00
_cell_angle_beta 90.00
_cell_angle_gamma 90.00
loop_
_symmetry_equiv_pos_as_xyz
'x,y,z'
loop_
_atom_site_label
_atom_site_type_symbol
_atom_site_fract_x
_atom_site_fract_y
_atom_site_fract_z
Mn1 Mn 0.000 0.333 0.667
Mn2 Mn 0.000 0.667 0.333
Ru1 Ru 0.500 0.000 0.000